Compound: MgMo2Cl
Source: the Alexandria database
Functional: PBE
Structure: optimized geometry

Calculated values
formation energy without anion corrections	956	meV/atom
total magnetic moment	0.00	Bohr magnetons per cell
distance to the lowest polymorph of the same formula	0.992	eV per atom
DOS at the Fermi energy	6.2	states/eV/f.u.
symmetry	No. 123

a b c (Å): 4.7787 4.7787 2.8385
angles (deg): 90.00 90.00 90.00
Fractional positions:
Mg 0.0000 0.0000 0.0000
Mo 0.0000 0.5000 0.5000
Mo 0.5000 0.0000 0.5000
Cl 0.5000 0.5000 0.0000

---

Compound: AsP2Au
Source: the Alexandria database
Functional: PBE
Structure: optimized geometry

Calculated values
total magnetic moment	0.00	Bohr magnetons per cell
formation energy	0.10	eV per atom
DOS at the Fermi energy	0.9	states/eV/f.u.
symmetry	No. 8

a b c (Å): 6.7992 6.7992 4.0042
angles (deg): 98.52 98.52 27.23
Fractional positions:
As 0.0000 0.0000 0.0000
P 0.1527 0.1527 0.7307
P 0.7584 0.7584 0.9115
Au 0.8696 0.8696 0.4637

---

Compound: Sc3SiSb
Source: the Alexandria database
Functional: PBE
Structure: optimized geometry

Calculated values
formation energy without anion corrections	-416	meV/atom
total magnetic moment	0.00	Bohr magnetons per cell
distance to the lowest polymorph of the same formula	0.000	eV per atom
DOS at the Fermi energy	4.3	states/eV/f.u.
symmetry	No. 221

a b c (Å): 4.9610 4.9610 4.9610
angles (deg): 90.00 90.00 90.00
Fractional positions:
Sc 0.0000 0.0000 0.5000
Sc 0.0000 0.5000 0.0000
Sc 0.5000 0.0000 0.0000
Si 0.0000 0.0000 0.0000
Sb 0.5000 0.5000 0.5000